# CeUGaRu (GGA-PBE, relaxed)
# DFT formation energy	-0.196	eV per atom
# Fermi-level density of states	42.9	states/eV per cell
# M_tot	3.0	μB/f.u.
data_CeUGaRu
_cell_length_a 6.7667
_cell_length_b 6.7667
_cell_length_c 6.7667
_cell_angle_alpha 90.00
_cell_angle_beta 90.00
_cell_angle_gamma 90.00
_space_group_name_H-M_alt 'F -4 3 m'
_space_group_IT_number 216
_space_group_name_Hall 'F -4 2 3'
loop_
_atom_site_label
_atom_site_type_symbol
_atom_site_fract_x
_atom_site_fract_y
_atom_site_fract_z
_atom_site_occupancy
Ce1 Ce 0.0000 0.0000 0.0000 1
U1 U 0.2500 0.2500 0.2500 1
Ga1 Ga 0.2500 0.2500 0.7500 1
Ru1 Ru 0.0000 0.0000 0.5000 1

---

# Ce2VGa2Ru5 (GGA-PBE, relaxed)
# DFT formation energy	-0.302	eV per atom
# Fermi-level density of states	12.7	states/eV per cell
# M_tot	0.0	μB/f.u.
data_Ce2VGa2Ru5
_cell_length_a 10.1649
_cell_length_b 10.1649
_cell_length_c 3.2568
_cell_angle_alpha 90.00
_cell_angle_beta 90.00
_cell_angle_gamma 90.00
_space_group_name_H-M_alt 'P 4/m b m'
_space_group_IT_number 127
_space_group_name_Hall '-P 4 2ab'
loop_
_atom_site_label
_atom_site_type_symbol
_atom_site_fract_x
_atom_site_fract_y
_atom_site_fract_z
_atom_site_occupancy
Ce1 Ce 0.1712 0.3288 0.0000 1
V1 V 0.0000 0.0000 0.0000 1
Ga1 Ga 0.1294 0.6294 0.0000 1
Ru1 Ru 0.0000 0.5000 0.5000 1
Ru2 Ru 0.0613 0.8042 0.5000 1

---

# CeGaS4 (GGA-PBE, relaxed)
# energy relative to the elements, uncorrected	-0.905	eV per atom
# Fermi-level density of states	14.2	states/eV per cell
# M_tot	0.9	μB/f.u.
data_CeGaS4
_cell_length_a 7.1338
_cell_length_b 5.6415
_cell_length_c 6.6284
_cell_angle_alpha 90.00
_cell_angle_beta 96.62
_cell_angle_gamma 90.00
_space_group_name_H-M_alt 'P 1 21/c 1'
_space_group_IT_number 14
loop_
_space_group_symop_operation_xyz
'x,y,z'
'-x,-y,-z'
'-x,y+1/2,-z+1/2'
'x,-y+1/2,z+1/2'
loop_
_atom_site_label
_atom_site_type_symbol
_atom_site_fract_x
_atom_site_fract_y
_atom_site_fract_z
_atom_site_occupancy
Ce1 Ce 0.0000 0.0000 0.0000 1
Ga1 Ga 0.5000 0.0000 0.5000 1
S1 S 0.1777 0.0667 0.3839 1
S2 S 0.4032 0.5979 0.4067 1

---

# Ce2GaS (GGA-PBE, relaxed)
# energy relative to the elements, uncorrected	-1.120	eV per atom
# Fermi-level density of states	32.3	states/eV per cell
# ΔE to the lowest computed polymorph	36.6	kJ/mol of formula units
# M_tot	1.7	μB/f.u.
data_Ce2GaS
_cell_length_a 4.0268
_cell_length_b 4.0268
_cell_length_c 21.7947
_cell_angle_alpha 90.00
_cell_angle_beta 90.00
_cell_angle_gamma 120.00
_space_group_name_H-M_alt 'R -3 m'
_space_group_IT_number 166
_space_group_name_Hall '-R 3 2"'
loop_
_atom_site_label
_atom_site_type_symbol
_atom_site_fract_x
_atom_site_fract_y
_atom_site_fract_z
_atom_site_occupancy
Ce1 Ce 0.0000 0.0000 0.2422 1
Ga1 Ga 0.0000 0.0000 0.0000 1
S1 S 0.0000 0.0000 0.5000 1

---

# Ce2GaS6 (GGA-PBE, relaxed)
# energy relative to the elements, uncorrected	-1.067	eV per atom
# Fermi-level density of states	13.8	states/eV per cell
# M_tot	0.0	μB/f.u.
data_Ce2GaS6
_cell_length_a 6.1388
_cell_length_b 6.1388
_cell_length_c 12.1340
_cell_angle_alpha 90.00
_cell_angle_beta 90.00
_cell_angle_gamma 90.00
_space_group_name_H-M_alt 'P 42/m n m'
_space_group_IT_number 136
_space_group_name_Hall '-P 4n 2n'
loop_
_atom_site_label
_atom_site_type_symbol
_atom_site_fract_x
_atom_site_fract_y
_atom_site_fract_z
_atom_site_occupancy
Ce1 Ce 0.0000 0.0000 0.1690 1
Ga1 Ga 0.0000 0.0000 0.5000 1
S1 S 0.1896 0.1896 0.3513 1
S2 S 0.2066 0.2066 0.0000 1

---

# CeGa2S4 (GGA-PBE, relaxed)
# energy relative to the elements, uncorrected	-0.836	eV per atom
# Fermi-level density of states	21.0	states/eV per cell
# M_tot	1.6	μB/f.u.
data_CeGa2S4
_cell_length_a 7.5489
_cell_length_b 7.5489
_cell_length_c 6.1543
_cell_angle_alpha 90.00
_cell_angle_beta 90.00
_cell_angle_gamma 90.00
_space_group_name_H-M_alt 'I 4/m'
_space_group_IT_number 87
_space_group_name_Hall '-I 4'
loop_
_atom_site_label
_atom_site_type_symbol
_atom_site_fract_x
_atom_site_fract_y
_atom_site_fract_z
_atom_site_occupancy
Ce1 Ce 0.0000 0.0000 0.0000 1
Ga1 Ga 0.0000 0.5000 0.2500 1
S1 S 0.1595 0.6736 0.5000 1